[1]
## Nd2NiGeN (PBE)

Data for a geometry-optimized Nd2NiGeN structure.

Lattice parameters (Å, degrees): 6.5416 3.8179 8.3736 90.00 108.52 90.00
Sites, in units of the cell vectors:
Nd 0.2089 0.2500 0.3844
Nd 0.2166 0.2500 0.9654
Nd 0.7834 0.7500 0.0346
Nd 0.7911 0.7500 0.6156
Ni 0.4665 0.7500 0.2445
Ni 0.5335 0.2500 0.7555
Ge 0.3027 0.7500 0.6942
Ge 0.6973 0.2500 0.3058
N 0.1639 0.7500 0.1665
N 0.8361 0.2500 0.8335

Summary:
* final energy: -32.78 eV per formula unit
* raw formation energy: -904 meV/atom
* total magnetic moment: 0.000 μB/atom
* space-group type: P2_1/m (11)

=====

[2]
## SrTa2Te (PBE)

Data for a geometry-optimized SrTa2Te structure.

Lattice parameters (Å, degrees): 5.6236 5.6236 5.5329 102.42 102.42 35.83
Sites, in units of the cell vectors:
Sr 0.0000 0.0000 0.0000
Ta 0.2292 0.2292 0.6709
Ta 0.7708 0.7708 0.3291
Te 0.5000 0.5000 0.5000

Summary:
* final energy: -26.68 eV per formula unit
* raw formation energy: 462 meV/atom
* total magnetic moment: 0.000 μB/atom
* space-group type: C2/m (12)
* ΔE to the lowest computed polymorph: 0.334 eV/atom

=====

[3]
## ScTl3F (PBE)

Data for a geometry-optimized ScTl3F structure.

Lattice parameters (Å, degrees): 5.0531 5.0531 5.0531 90.00 90.00 90.00
Sites, in units of the cell vectors:
Sc 0.0000 0.0000 0.0000
Tl 0.0000 0.5000 0.5000
Tl 0.5000 0.0000 0.5000
Tl 0.5000 0.5000 0.0000
F 0.5000 0.5000 0.5000

Summary:
* final energy: -17.53 eV per formula unit
* raw formation energy: -445 meV/atom
* total magnetic moment: 0.086 μB/atom
* space-group type: Pm-3m (221)
* ΔE to the lowest computed polymorph: 0.000 eV/atom

=====

[4]
## NdTm3Mg (PBE)

Data for a geometry-optimized NdTm3Mg structure.

Lattice parameters (Å, degrees): 3.6321 6.6904 12.7890 86.58 89.98 74.25
Sites, in units of the cell vectors:
Nd 0.2348 0.0291 0.2627
Nd 0.7652 0.9709 0.7373
Tm 0.0347 0.4304 0.6862
Tm 0.1518 0.1968 0.9386
Tm 0.3672 0.7661 0.5210
Tm 0.6328 0.2339 0.4790
Tm 0.8482 0.8032 0.0614
Tm 0.9653 0.5696 0.3138
Mg 0.4445 0.6119 0.8788
Mg 0.5555 0.3881 0.1212

Summary:
* final energy: -19.83 eV per formula unit
* total magnetic moment: 0.000 μB/atom
* space-group type: P-1 (2)
* ΔE to the lowest computed polymorph: 0.000 eV/atom
* ΔH_f (0 K): -0.010 eV per atom

=====

[5]
## Mn4Tl2Zn (PBE)

Data for a geometry-optimized Mn4Tl2Zn structure.

Lattice parameters (Å, degrees): 7.6952 7.6952 7.6952 145.09 145.09 50.20
Sites, in units of the cell vectors:
Mn 0.0000 0.5000 0.5000
Mn 0.1753 0.1753 0.0000
Mn 0.5000 0.0000 0.5000
Mn 0.8247 0.8247 0.0000
Tl 0.3705 0.3705 0.0000
Tl 0.6295 0.6295 0.0000
Zn 0.0000 0.0000 0.0000

Summary:
* final energy: -37.30 eV per formula unit
* total magnetic moment: 2.160 μB/atom
* space-group type: I4/mmm (139)
* ΔH_f (0 K): 0.769 eV per atom

=====

[6]
## Dy2ErPu (PBE)

Data for a geometry-optimized Dy2ErPu structure.

Lattice parameters (Å, degrees): 4.9499 4.9499 4.9361 90.00 90.00 90.00
Sites, in units of the cell vectors:
Dy 0.0000 0.5000 0.0000
Dy 0.5000 0.0000 0.0000
Er 0.0000 0.0000 0.5000
Pu 0.5000 0.5000 0.5000

Summary:
* final energy: -27.55 eV per formula unit
* total magnetic moment: 1.562 μB/atom
* space-group type: P4/mmm (123)
* ΔE to the lowest computed polymorph: 0.045 eV/atom
* ΔH_f (0 K): 0.136 eV per atom

=====

[7]
## LaPm3YHo (PBE)

Data for a geometry-optimized LaPm3YHo structure.

Lattice parameters (Å, degrees): 8.1057 5.1603 10.2925 90.00 108.58 90.00
Sites, in units of the cell vectors:
La 0.1689 0.2500 0.2926
La 0.8311 0.7500 0.7074
Pm 0.1685 0.2500 0.7915
Pm 0.1689 0.7500 0.0416
Pm 0.1705 0.7500 0.5430
Pm 0.8295 0.2500 0.4570
Pm 0.8311 0.2500 0.9584
Pm 0.8315 0.7500 0.2085
Y 0.4978 0.7500 0.8751
Y 0.5022 0.2500 0.1249
Ho 0.4997 0.2500 0.6258
Ho 0.5003 0.7500 0.3742

Summary:
* final energy: -30.07 eV per formula unit
* total magnetic moment: 0.000 μB/atom
* space-group type: P2_1/m (11)
* ΔH_f (0 K): 0.025 eV per atom

=====

[8]
## CdTePtN2 (PBE)

Data for a geometry-optimized CdTePtN2 structure.

Lattice parameters (Å, degrees): 3.8661 3.8661 8.3904 90.00 90.00 90.00
Sites, in units of the cell vectors:
Cd 0.0000 0.0000 0.0000
Te 0.5000 0.5000 0.0000
Pt 0.5000 0.5000 0.5000
N 0.0000 0.5000 0.5000
N 0.5000 0.0000 0.5000

Summary:
* final energy: -21.42 eV per formula unit
* raw formation energy: 1067 meV/atom
* total magnetic moment: 0.000 μB/atom
* space-group type: P4/mmm (123)
* ΔE to the lowest computed polymorph: 0.000 eV/atom

=====

Copy entry 7 word for word.
## LaPm3YHo (PBE)

Data for a geometry-optimized LaPm3YHo structure.

Lattice parameters (Å, degrees): 8.1057 5.1603 10.2925 90.00 108.58 90.00
Sites, in units of the cell vectors:
La 0.1689 0.2500 0.2926
La 0.8311 0.7500 0.7074
Pm 0.1685 0.2500 0.7915
Pm 0.1689 0.7500 0.0416
Pm 0.1705 0.7500 0.5430
Pm 0.8295 0.2500 0.4570
Pm 0.8311 0.2500 0.9584
Pm 0.8315 0.7500 0.2085
Y 0.4978 0.7500 0.8751
Y 0.5022 0.2500 0.1249
Ho 0.4997 0.2500 0.6258
Ho 0.5003 0.7500 0.3742

Summary:
* final energy: -30.07 eV per formula unit
* total magnetic moment: 0.000 μB/atom
* space-group type: P2_1/m (11)
* ΔH_f (0 K): 0.025 eV per atom

=====

> Among the records above, which one has the lowest final energy?

Mn4Tl2Zn

=====

> Which of these has the lowest final energy?

Mn4Tl2Zn

=====

> total magnetic moment of number 5 (Mn4Tl2Zn)?

2.160 μB/atom